No. 1
# Ce6Tl2C

A geometry-optimized Ce6Tl2C structure (PBE, the Alexandria database).

Calculated values
The total magnetic moment is 3.40 μB per formula unit. The calculation puts the polymorph energy (0 for the lowest one) at 0.0 meV per atom. The crystal system is orthorhombic.

a = 6.986 Å, b = 6.986 Å, c = 6.986 Å
α = 123.37°, β = 121.98°, γ = 85.44°
Fractional coordinates of all 9 atoms:
Ce1 0.235 0.235 0.000
Ce2 0.244 0.286 0.531
Ce3 0.244 0.714 0.958
Ce4 0.756 0.286 0.042
Ce5 0.756 0.714 0.469
Ce6 0.765 0.765 0.000
Tl1 0.265 0.765 0.500
Tl2 0.735 0.235 0.500
C1 0.000 0.000 0.000

---

No. 2
# MnHg3Bi

A geometry-optimized MnHg3Bi structure (PBE, the Alexandria database).

Calculated values
The total magnetic moment is 3.56 μB per formula unit. The calculation puts the polymorph energy (0 for the lowest one) at 0.0 meV per atom. The crystal system is cubic.

a = 5.171 Å, b = 5.171 Å, c = 5.171 Å
α = 90.00°, β = 90.00°, γ = 90.00°
Fractional coordinates of all 5 atoms:
Mn1 0.000 0.000 0.000
Hg1 0.000 0.000 0.500
Hg2 0.000 0.500 0.000
Hg3 0.500 0.000 0.000
Bi1 0.500 0.500 0.500

---

No. 3
# CsKZnOs2

A geometry-optimized CsKZnOs2 structure (PBE, the Alexandria database).

Calculated values
The value obtained for the total energy is -3.4555 eV/atom. The total magnetic moment is 3.18 μB per formula unit. The crystal system is tetragonal.

a = 4.814 Å, b = 4.814 Å, c = 6.124 Å
α = 90.00°, β = 90.00°, γ = 90.00°
Fractional coordinates of all 5 atoms:
Cs1 0.000 0.000 0.000
K1 0.500 0.500 0.000
Zn1 0.000 0.000 0.500
Os1 0.000 0.500 0.500
Os2 0.500 0.000 0.500

---

No. 4
# Na3Li3CrBr8

A geometry-optimized Na3Li3CrBr8 structure (PBE, the Alexandria database).

Calculated values
The value obtained for the raw formation energy is -1.34 eV/atom. The total magnetic moment is 4.00 μB per formula unit. The crystal system is trigonal.

a = 8.237 Å, b = 8.237 Å, c = 8.237 Å
α = 58.21°, β = 58.21°, γ = 58.21°
Fractional coordinates of all 15 atoms:
Na1 0.000 0.500 0.500
Na2 0.500 0.000 0.500
Na3 0.500 0.500 0.000
Li1 0.000 0.000 0.500
Li2 0.000 0.500 0.000
Li3 0.500 0.000 0.000
Cr1 0.500 0.500 0.500
Br1 0.243 0.243 0.243
Br2 0.251 0.734 0.734
Br3 0.266 0.266 0.749
Br4 0.266 0.749 0.266
Br5 0.734 0.251 0.734
Br6 0.734 0.734 0.251
Br7 0.749 0.266 0.266
Br8 0.757 0.757 0.757

---

No. 5
# Sc4Cd5Hg2

A geometry-optimized Sc4Cd5Hg2 structure (PBE, the Alexandria database).

Calculated values
The value obtained for the total energy is -3.0064 eV/atom. The total magnetic moment is 0.10 μB per formula unit. The crystal system is monoclinic.

a = 7.624 Å, b = 3.306 Å, c = 9.862 Å
α = 90.00°, β = 95.19°, γ = 90.00°
Fractional coordinates of all 11 atoms:
Sc1 0.165 0.000 0.386
Sc2 0.269 0.000 0.941
Sc3 0.731 0.000 0.059
Sc4 0.835 0.000 0.614
Cd1 0.188 0.500 0.655
Cd2 0.450 0.500 0.196
Cd3 0.500 0.500 0.500
Cd4 0.550 0.500 0.804
Cd5 0.812 0.500 0.345
Hg1 0.067 0.500 0.141
Hg2 0.933 0.500 0.859

---

No. 6
# Rb2PuI2Br4

A geometry-optimized Rb2PuI2Br4 structure (PBE, the Alexandria database).

Calculated values
The value obtained for the raw formation energy is -1.42 eV/atom. The total magnetic moment is 4.00 μB per formula unit. The crystal system is tetragonal.

a = 8.153 Å, b = 8.153 Å, c = 8.153 Å
α = 121.18°, β = 121.18°, γ = 87.97°
Fractional coordinates of all 9 atoms:
Rb1 0.250 0.750 0.500
Rb2 0.750 0.250 0.500
Pu1 0.000 0.000 0.000
I1 0.257 0.257 0.000
I2 0.743 0.743 0.000
Br1 0.243 0.243 0.486
Br2 0.243 0.757 0.000
Br3 0.757 0.243 0.000
Br4 0.757 0.757 0.514

---

No. 7
# EuThAlCd

A geometry-optimized EuThAlCd structure (PBE, the Alexandria database).

Calculated values
The value obtained for the total energy is -5.7433 eV/atom. The total magnetic moment is 7.56 μB per formula unit. The crystal system is cubic.

a = 5.391 Å, b = 5.391 Å, c = 5.391 Å
α = 60.00°, β = 60.00°, γ = 60.00°
Fractional coordinates of all 4 atoms:
Eu1 0.000 0.000 0.000
Th1 0.500 0.500 0.500
Al1 0.750 0.750 0.750
Cd1 0.250 0.250 0.250

---

No. 8
# Tb2NbAl

A geometry-optimized Tb2NbAl structure (PBE, the Alexandria database).

Calculated values
The value obtained for the total energy is -5.3230 eV/atom. The total magnetic moment is 0.94 μB per formula unit. The crystal system is trigonal.

a = 11.158 Å, b = 11.158 Å, c = 11.158 Å
α = 16.51°, β = 16.51°, γ = 16.51°
Fractional coordinates of all 4 atoms:
Tb1 0.091 0.091 0.091
Tb2 0.909 0.909 0.909
Nb1 0.000 0.000 0.000
Al1 0.500 0.500 0.500

---

No. 9
# NiSnSe4

A geometry-optimized NiSnSe4 structure (PBE, the Alexandria database).

Calculated values
The value obtained for the raw formation energy is -0.24 eV/atom. The total magnetic moment is 0.00 μB per formula unit. The crystal system is orthorhombic.

a = 7.469 Å, b = 7.469 Å, c = 7.469 Å
α = 122.22°, β = 116.56°, γ = 91.13°
Fractional coordinates of all 12 atoms:
Ni1 0.500 0.000 0.000
Ni2 0.500 0.500 0.500
Sn1 0.000 0.000 0.000
Sn2 0.500 0.000 0.500
Se1 0.266 0.280 0.514
Se2 0.266 0.752 0.986
Se3 0.285 0.743 0.542
Se4 0.299 0.257 0.042
Se5 0.701 0.743 0.958
Se6 0.715 0.257 0.458
Se7 0.734 0.248 0.014
Se8 0.734 0.720 0.486

---

No. 10
# V8Cr2W

A geometry-optimized V8Cr2W structure (PBE, the Alexandria database).

Calculated values
The value obtained for the total energy is -8.9388 eV/atom. The total magnetic moment is 0.00 μB per formula unit. The crystal system is monoclinic.

a = 5.732 Å, b = 5.732 Å, c = 5.046 Å
α = 96.65°, β = 96.65°, γ = 89.88°
Fractional coordinates of all 11 atoms:
V1 0.084 0.084 0.356
V2 0.104 0.586 0.275
V3 0.192 0.192 0.958
V4 0.414 0.896 0.725
V5 0.586 0.104 0.275
V6 0.808 0.808 0.042
V7 0.896 0.414 0.725
V8 0.916 0.916 0.644
Cr1 0.360 0.360 0.534
Cr2 0.640 0.640 0.466
W1 0.500 0.500 0.000

---

No. 11
# PtAu

A geometry-optimized PtAu structure (PBE, the Alexandria database).

Calculated values
The value obtained for the total energy is -4.3690 eV/atom. The total magnetic moment is 0.00 μB per formula unit. The crystal system is orthorhombic.

a = 4.592 Å, b = 11.357 Å, c = 4.644 Å
α = 90.00°, β = 90.00°, γ = 90.00°
Fractional coordinates of all 12 atoms:
Pt1 0.250 0.129 0.213
Pt2 0.250 0.371 0.213
Pt3 0.250 0.750 0.763
Pt4 0.750 0.250 0.237
Pt5 0.750 0.629 0.787
Pt6 0.750 0.871 0.787
Au1 0.250 0.250 0.713
Au2 0.250 0.504 0.716
Au3 0.250 0.996 0.716
Au4 0.750 0.004 0.284
Au5 0.750 0.496 0.284
Au6 0.750 0.750 0.287

---

No. 12
# LiB2H

A geometry-optimized LiB2H structure (PBE, the Alexandria database).

Calculated values
The total magnetic moment is 0.00 μB per formula unit. The calculation puts the polymorph energy (0 for the lowest one) at 145.2 meV per atom. The crystal system is triclinic.

a = 3.147 Å, b = 4.459 Å, c = 5.019 Å
α = 81.36°, β = 89.57°, γ = 89.01°
Fractional coordinates of all 8 atoms:
Li1 0.000 0.000 0.000
Li2 0.497 0.666 0.563
B1 0.242 0.494 0.097
B2 0.488 0.208 0.325
B3 0.722 0.497 0.096
B4 0.988 0.103 0.473
H1 0.984 0.282 0.642
H2 0.992 0.853 0.629

---

No. 13
# SrMg12

A geometry-optimized SrMg12 structure (PBE, the Alexandria database).

Calculated values
The value obtained for the total energy is -1.6349 eV/atom. The total magnetic moment is 0.00 μB per formula unit. The crystal system is tetragonal.

a = 7.963 Å, b = 7.963 Å, c = 7.963 Å
α = 98.25°, β = 98.25°, γ = 135.49°
Fractional coordinates of all 13 atoms:
Sr1 0.000 0.000 0.000
Mg1 0.000 0.000 0.500
Mg2 0.000 0.354 0.354
Mg3 0.000 0.500 0.000
Mg4 0.000 0.646 0.646
Mg5 0.281 0.500 0.781
Mg6 0.354 0.000 0.354
Mg7 0.500 0.000 0.000
Mg8 0.500 0.281 0.781
Mg9 0.500 0.500 0.500
Mg10 0.500 0.719 0.219
Mg11 0.646 0.000 0.646
Mg12 0.719 0.500 0.219

---

No. 14
# BaAl3Si

A geometry-optimized BaAl3Si structure (PBE, the Alexandria database).

Calculated values
The value obtained for the raw formation energy is -0.24 eV/atom. The total magnetic moment is 0.00 μB per formula unit. The calculation puts the polymorph energy (0 for the lowest one) at 0.0 meV per atom. The crystal system is monoclinic.

a = 4.599 Å, b = 4.599 Å, c = 6.264 Å
α = 111.41°, β = 111.41°, γ = 90.05°
Fractional coordinates of all 5 atoms:
Ba1 0.000 0.000 0.000
Al1 0.245 0.745 0.490
Al2 0.376 0.376 0.752
Al3 0.745 0.245 0.490
Si1 0.621 0.621 0.241

---

No. 15
# Ba2MgPt2

A geometry-optimized Ba2MgPt2 structure (PBE, the Alexandria database).

Calculated values
The value obtained for the total energy is -3.7582 eV/atom. The total magnetic moment is 0.00 μB per formula unit. The crystal system is tetragonal.

a = 10.946 Å, b = 10.946 Å, c = 10.946 Å
α = 159.25°, β = 159.25°, γ = 29.51°
Fractional coordinates of all 5 atoms:
Ba1 0.134 0.134 0.000
Ba2 0.866 0.866 0.000
Mg1 0.500 0.500 0.000
Pt1 0.250 0.750 0.500
Pt2 0.750 0.250 0.500

---

No. 16
# Cs3V2I9

A geometry-optimized Cs3V2I9 structure (PBE, the Alexandria database).

Calculated values
The value obtained for the raw formation energy is -0.93 eV/atom. The total magnetic moment is 4.00 μB per formula unit. The crystal system is trigonal.

a = 10.891 Å, b = 10.891 Å, c = 10.891 Å
α = 81.11°, β = 81.11°, γ = 81.11°
Fractional coordinates of all 28 atoms:
Cs1 0.090 0.750 0.410
Cs2 0.250 0.590 0.910
Cs3 0.410 0.090 0.750
Cs4 0.590 0.910 0.250
Cs5 0.750 0.410 0.090
Cs6 0.910 0.250 0.590
V1 0.170 0.170 0.170
V2 0.330 0.330 0.330
V3 0.670 0.670 0.670
V4 0.830 0.830 0.830
I1 0.061 0.901 0.737
I2 0.093 0.407 0.250
I3 0.099 0.263 0.939
I4 0.237 0.401 0.561
I5 0.250 0.093 0.407
I6 0.263 0.939 0.099
I7 0.401 0.561 0.237
I8 0.407 0.250 0.093
I9 0.439 0.763 0.599
I10 0.561 0.237 0.401
I11 0.593 0.750 0.907
I12 0.599 0.439 0.763
I13 0.737 0.061 0.901
I14 0.750 0.907 0.593
I15 0.763 0.599 0.439
I16 0.901 0.737 0.061
I17 0.907 0.593 0.750
I18 0.939 0.099 0.263

---

No. 17
# Pr3GaRu

A geometry-optimized Pr3GaRu structure (PBE, the Alexandria database).

Calculated values
The total magnetic moment is 0.00 μB per formula unit. The calculation puts the polymorph energy (0 for the lowest one) at 25.3 meV per atom. The crystal system is triclinic.

a = 4.699 Å, b = 7.800 Å, c = 7.997 Å
α = 83.86°, β = 89.96°, γ = 72.48°
Fractional coordinates of all 10 atoms:
Pr1 0.044 0.411 0.289
Pr2 0.238 0.025 0.682
Pr3 0.381 0.738 0.068
Pr4 0.619 0.262 0.932
Pr5 0.762 0.975 0.318
Pr6 0.956 0.589 0.711
Ga1 0.411 0.678 0.459
Ga2 0.589 0.322 0.541
Ru1 0.197 0.107 0.092
Ru2 0.803 0.893 0.908

---

No. 18
# VNi2Se

A geometry-optimized VNi2Se structure (PBE, the Alexandria database).

Calculated values
The value obtained for the raw formation energy is 0.08 eV/atom. The total magnetic moment is 0.00 μB per formula unit. The crystal system is tetragonal.

a = 5.316 Å, b = 5.316 Å, c = 5.316 Å
α = 102.34°, β = 102.34°, γ = 124.93°
Fractional coordinates of all 8 atoms:
V1 0.000 0.000 0.000
V2 0.750 0.250 0.500
Ni1 0.141 0.625 0.016
Ni2 0.375 0.391 0.516
Ni3 0.609 0.125 0.984
Ni4 0.875 0.859 0.484
Se1 0.250 0.750 0.500
Se2 0.500 0.500 0.000

---

No. 19
# TbYGa

A geometry-optimized TbYGa structure (PBE, the Alexandria database).

Calculated values
The total magnetic moment is 0.00 μB per formula unit. The calculation puts the polymorph energy (0 for the lowest one) at 20.1 meV per atom. The crystal system is triclinic.

a = 3.696 Å, b = 5.173 Å, c = 8.416 Å
α = 90.03°, β = 102.68°, γ = 90.00°
Fractional coordinates of all 6 atoms:
Tb1 0.075 0.249 0.152
Tb2 0.925 0.751 0.848
Y1 0.222 0.750 0.444
Y2 0.778 0.250 0.556
Ga1 0.423 0.251 0.846
Ga2 0.577 0.749 0.154

---

No. 20
# PmDy2HoTm4

A geometry-optimized PmDy2HoTm4 structure (PBE, the Alexandria database).

Calculated values
The value obtained for the total energy is -4.1044 eV/atom. The total magnetic moment is 3.10 μB per formula unit. The crystal system is orthorhombic.

a = 9.436 Å, b = 9.436 Å, c = 9.436 Å
α = 138.14°, β = 103.65°, γ = 91.10°
Fractional coordinates of all 16 atoms:
Pm1 0.000 0.000 0.000
Pm2 0.500 0.000 0.500
Dy1 0.000 0.500 0.500
Dy2 0.500 0.000 0.000
Dy3 0.500 0.500 0.000
Dy4 0.500 0.500 0.500
Ho1 0.000 0.000 0.500
Ho2 0.000 0.500 0.000
Tm1 0.248 0.749 0.499
Tm2 0.249 0.250 0.501
Tm3 0.249 0.749 0.999
Tm4 0.251 0.251 0.999
Tm5 0.749 0.749 0.001
Tm6 0.751 0.251 0.001
Tm7 0.751 0.750 0.499
Tm8 0.752 0.251 0.501